Entry 1:
First-principles (PBE-GGA) data for a relaxed Li7HoSn4 crystal, as listed in the Alexandria database.

Summary:
Formation energy   -0.23 eV/atom
Total magnetization   0.2 μB per cell

Unit cell a=6.8953 b=6.8953 c=9.9569 alpha=122.79 beta=122.79 gamma=42.40
Fractional coordinates of all 12 atoms:
1 Li 0.0000 0.0000 0.0000
2 Li 0.1624 0.1624 0.5931
3 Li 0.2864 0.2864 0.1253
4 Li 0.4238 0.4238 0.6257
5 Li 0.5762 0.5762 0.3743
6 Li 0.7136 0.7136 0.8747
7 Li 0.8376 0.8376 0.4069
8 Ho 0.5000 0.5000 0.0000
9 Sn 0.0720 0.0720 0.7962
10 Sn 0.1901 0.1901 0.3108
11 Sn 0.8099 0.8099 0.6892
12 Sn 0.9280 0.9280 0.2038



Entry 2:
First-principles (PBE-GGA) data for a relaxed LiHoSn crystal, as listed in the Alexandria database.

Summary:
Formation energy   -0.31 eV/atom
Total magnetization   0.0 μB per cell

Unit cell a=3.5260 b=3.5260 c=11.3153 alpha=90.00 beta=90.00 gamma=90.00
Fractional coordinates of all 6 atoms:
1 Li 0.0000 0.0000 0.0000
2 Li 0.5000 0.5000 0.5000
3 Ho 0.0000 0.0000 0.3055
4 Ho 0.5000 0.5000 0.8055
5 Sn 0.0000 0.0000 0.6206
6 Sn 0.5000 0.5000 0.1206